1.
Density functional theory data (PBE-GGA) for Li3Mg3Cd2 after structural relaxation.

Lattice parameters (Å, degrees): 14.1283 4.9457 4.9943 90.00 110.62 90.00
Last column: nearest neighbours and their distance in Å.
Space group C2/m (No. 12)
Asymmetric unit:
Li 0.0000 0.0000 0.0000  4 Mg 2.98, 4 Li 3.05, 2 Cd 3.31
Li 0.1325 0.0000 0.6319  4 Cd 2.92-2.95, 3 Mg 3.03-3.20, 2 Li 3.05
Mg 0.0000 0.5000 0.5000  4 Mg 3.00, 4 Li 3.03, 2 Cd 3.30
Mg 0.1258 0.5000 0.1260  4 Cd 2.97-2.99, 3 Li 2.98-3.20, 3 Mg 3.00-3.33
Cd 0.2495 0.5000 0.7494  4 Li 2.92-2.95, 4 Mg 2.97-2.99

Summary:
Energy above the lowest structure with this stoichiometry ... 0.00 eV/f.u.
E_tot ... -1.68 eV/atom
Energy of formation from the pure elements ... -131 meV/atom
Spin magnetization ... 0.00 Bohr magnetons per cell



2.
Density functional theory data (PBE-GGA) for LaPmAlIn after structural relaxation.

Lattice parameters (Å, degrees): 3.8123 3.8123 7.7277 90.00 90.00 90.00
Last column: nearest neighbours and their distance in Å.
Space group P4mm (No. 99)
Asymmetric unit:
La 0.0000 0.0000 0.0000  4 Al 3.32, 4 In 3.42, 1 Pm 3.70
Pm 0.0000 0.0000 0.4786  4 Al 3.22, 4 In 3.31
Al 0.5000 0.5000 0.2501  4 Pm 3.22, 4 La 3.32
In 0.5000 0.5000 0.7269  4 Pm 3.31, 4 La 3.42, 1 Al 3.68

Summary:
Energy above the lowest structure with this stoichiometry ... 0.00 eV/f.u.
E_tot ... -4.47 eV/atom
Energy of formation from the pure elements ... -432 meV/atom
Spin magnetization ... 0.00 Bohr magnetons per cell



3.
Density functional theory data (PBE-GGA) for Ce6GaSi after structural relaxation.

Lattice parameters (Å, degrees): 7.3742 9.5915 6.4372 90.00 106.65 90.00
Last column: nearest neighbours and their distance in Å.
Space group C2/m (No. 12)
Asymmetric unit:
Ce 0.1724 0.0000 0.1467  3 Ce 2.70-2.91, 1 Ga 2.83, 1 Si 2.91
Ce 0.1978 0.2889 0.2879  2 Ce 2.72-2.91, 1 Ga 2.85, 1 Si 3.03
Ga 0.0000 0.5000 0.0000  6 Ce 2.83-2.85
Si 0.0000 0.0000 0.5000  6 Ce 2.91-3.03

Summary:
Energy above the lowest structure with this stoichiometry ... 2.25 eV/f.u.
Formation energy from raw total energies ... -0.12 eV per formula unit
E_tot ... -5.52 eV/atom
Spin magnetization ... 5.28 Bohr magnetons per cell



4.
Density functional theory data (PBE-GGA) for Ho6Fe23 after structural relaxation.

Lattice parameters (Å, degrees): 11.9749 11.9749 11.9749 90.00 90.00 90.00
Last column: nearest neighbours and their distance in Å.
Space group Fm-3m (No. 225)
Asymmetric unit:
Ho 0.0000 0.0000 0.2094  12 Fe 2.89-3.03
Fe 0.0000 0.0000 0.5000  8 Fe 2.52
Fe 0.0000 0.2500 0.2500  8 Fe 2.45-2.62
Fe 0.1216 0.1216 0.3784  7 Fe 2.52-2.62
Fe 0.1754 0.1754 0.1754  9 Fe 2.45-2.60

Summary:
E_tot ... -7.72 eV/atom
Energy of formation from the pure elements ... -62 meV/atom
Spin magnetization ... 200.58 Bohr magnetons per cell



5.
Density functional theory data (PBE-GGA) for Pm2Dy12Tm after structural relaxation.

Lattice parameters (Å, degrees): 6.4124 6.4124 24.9102 90.00 90.00 90.00
Last column: nearest neighbours and their distance in Å.
Space group P4/nbm (No. 125, origin choice 2)
Asymmetric unit:
Pm 0.2500 0.7500 0.2292  8 Dy 3.50-3.63
Dy 0.0639 0.5639 0.3852  7 Dy 3.31-3.42, 1 Tm 3.32
Dy 0.0815 0.5815 0.9393  6 Dy 3.06-3.37
Dy 0.2500 0.2500 0.1605  5 Dy 3.11-3.45
Dy 0.2500 0.2500 0.2853  5 Dy 3.11-3.42
Tm 0.2500 0.7500 0.5000  4 Dy 3.32

Summary:
E_tot ... -4.28 eV/atom
Energy of formation from the pure elements ... 333 meV/atom
Spin magnetization ... 0.00 Bohr magnetons per cell



6.
Density functional theory data (PBE-GGA) for AcInAg6 after structural relaxation.

Lattice parameters (Å, degrees): 5.6284 5.6284 5.6284 90.00 90.00 90.00
Last column: nearest neighbours and their distance in Å.
Space group Pm-3 (No. 200)
Asymmetric unit:
Ac 0.0000 0.0000 0.0000  12 Ag 3.16
In 0.5000 0.5000 0.5000  12 Ag 3.13
Ag 0.0000 0.2572 0.5000  2 Ag 2.73-2.90

Summary:
E_tot ... -2.97 eV/atom
Energy of formation from the pure elements ... 27 meV/atom
Spin magnetization ... 0.00 Bohr magnetons per cell



7.
Density functional theory data (PBE-GGA) for BaFe2AgIr after structural relaxation.

Lattice parameters (Å, degrees): 4.5999 4.5999 5.2734 90.00 90.00 90.00
Last column: nearest neighbours and their distance in Å.
Space group P4/mmm (No. 123)
Asymmetric unit:
Ba 0.0000 0.0000 0.0000  4 Ag 3.25, 8 Fe 3.50
Fe 0.0000 0.5000 0.5000  2 Ir 2.30
Ag 0.5000 0.5000 0.0000  2 Ir 2.64
Ir 0.5000 0.5000 0.5000  4 Fe 2.30

Summary:
E_tot ... -5.27 eV/atom
Energy of formation from the pure elements ... 839 meV/atom
Spin magnetization ... 0.19 Bohr magnetons per cell



8.
Density functional theory data (PBE-GGA) for CaTaTl3 after structural relaxation.

Lattice parameters (Å, degrees): 5.4546 5.4546 5.4546 90.00 90.00 90.00
Last column: nearest neighbours and their distance in Å.
Space group Pm-3m (No. 221)
Asymmetric unit:
Ca 0.0000 0.0000 0.0000  12 Tl 3.86
Ta 0.5000 0.5000 0.5000  6 Tl 2.73
Tl 0.0000 0.5000 0.5000  2 Ta 2.73

Summary:
Energy above the lowest structure with this stoichiometry ... 0.00 eV/f.u.
E_tot ... -3.83 eV/atom
Energy of formation from the pure elements ... 363 meV/atom
Spin magnetization ... 0.00 Bohr magnetons per cell



9.
Density functional theory data (PBE-GGA) for AcLuZnCd after structural relaxation.

Lattice parameters (Å, degrees): 7.6439 7.6439 7.6439 90.00 90.00 90.00
Last column: nearest neighbours and their distance in Å.
Space group F-43m (No. 216)
Asymmetric unit:
Ac 0.0000 0.0000 0.0000  4 Cd 3.31, 4 Zn 3.31
Lu 0.0000 0.0000 0.5000  4 Zn 3.31, 4 Cd 3.31
Zn 0.2500 0.2500 0.2500  4 Ac 3.31, 4 Lu 3.31
Cd 0.2500 0.2500 0.7500  4 Lu 3.31, 4 Ac 3.31

Summary:
E_tot ... -2.92 eV/atom
Energy of formation from the pure elements ... -213 meV/atom
Spin magnetization ... 0.00 Bohr magnetons per cell



10.
Density functional theory data (PBE-GGA) for LiZr2SbN after structural relaxation.

Lattice parameters (Å, degrees): 4.5062 4.5062 4.2078 90.00 90.00 90.00
Last column: nearest neighbours and their distance in Å.
Space group P4/mmm (No. 123)
Asymmetric unit:
Li 0.0000 0.0000 0.0000  2 N 2.10
Zr 0.0000 0.5000 0.5000  2 N 2.25
Sb 0.5000 0.5000 0.0000  8 Zr 3.08, 4 Li 3.19
N 0.0000 0.0000 0.5000  2 Li 2.10, 4 Zr 2.25

Summary:
Formation energy from raw total energies ... -4.29 eV per formula unit
E_tot ... -7.15 eV/atom
Spin magnetization ... 0.00 Bohr magnetons per cell



11.
Density functional theory data (PBE-GGA) for CaZnAu2 after structural relaxation.

Lattice parameters (Å, degrees): 7.1039 4.5812 10.2944 90.00 90.00 90.00
Last column: nearest neighbours and their distance in Å.
Space group Pnma (No. 62)
Asymmetric unit:
Ca 0.2298 0.2500 0.1669  8 Au 3.07-3.43, 5 Zn 3.26-3.42
Zn 0.0620 0.7500 0.3847  5 Au 2.62-2.74
Au 0.0651 0.2500 0.8538  2 Zn 2.62-2.67, 2 Au 2.91
Au 0.2400 0.2500 0.4646  3 Zn 2.65-2.74, 2 Au 2.91

Summary:
E_tot ... -3.06 eV/atom
Energy of formation from the pure elements ... -601 meV/atom
Spin magnetization ... 0.00 Bohr magnetons per cell



12.
Density functional theory data (PBE-GGA) for K12Zn2Au5 after structural relaxation.

Lattice parameters (Å, degrees): 15.4428 9.0965 11.8951 90.00 93.96 90.00
Last column: nearest neighbours and their distance in Å.
Space group C2/m (No. 12)
Asymmetric unit:
K 0.0235 0.0000 0.2385  3 Au 3.33-3.57, 2 Zn 3.39
K 0.0511 0.5000 0.8048  2 Au 3.66-3.77, 2 Zn 3.68
K 0.1350 0.2345 0.5205  3 Au 3.19-3.47
K 0.2192 0.2726 0.1472  3 Au 3.44-3.57, 1 K 3.71, 1 Zn 3.76
Zn 0.0000 0.2036 0.0000  2 Au 2.70
Au 0.0000 0.5000 0.5000  4 K 3.19
Au 0.1254 0.0000 0.9784  2 Zn 2.70
Au 0.2426 0.0000 0.3469  8 K 3.39-3.77

Summary:
E_tot ... -1.82 eV/atom
Energy of formation from the pure elements ... -134 meV/atom
Spin magnetization ... 0.00 Bohr magnetons per cell